{"formula": "In2Hg2Pt", "functional": "PBE-GGA", "state": "relaxed", "lattice": [[7.2974, 0.0000, 0.0000], [0.0000, 7.2974, 0.0000], [0.0000, 0.0000, 4.5014]], "species": ["In", "In", "In", "In", "Hg", "Hg", "Hg", "Hg", "Pt", "Pt"], "fractional_positions": [[0.1687, 0.3313, 0.0000], [0.3313, 0.8313, 0.0000], [0.6687, 0.1687, 0.0000], [0.8313, 0.6687, 0.0000], [0.1472, 0.6472, 0.5000], [0.3528, 0.1472, 0.5000], [0.6472, 0.8528, 0.5000], [0.8528, 0.3528, 0.5000], [0.0000, 0.0000, 0.5000], [0.5000, 0.5000, 0.5000]], "total_energy_ev_per_atom": -2.295, "e_form_ev_per_atom": 0.129, "polymorph_energy_mev_per_atom": 119, "crystal_system": "tetragonal", "n_ef_per_ev_cell": 4.38}

***

{"formula": "KRuBr2", "functional": "PBE-GGA", "state": "relaxed", "lattice": [[0.0000, 3.6828, 3.6828], [3.6828, 0.0000, 3.6828], [3.6828, 3.6828, 0.0000]], "species": ["K", "Ru", "Br", "Br"], "fractional_positions": [[0.0000, 0.0000, 0.0000], [0.5000, 0.5000, 0.5000], [0.2500, 0.2500, 0.2500], [0.7500, 0.7500, 0.7500]], "total_energy_ev_per_atom": -3.461, "polymorph_energy_mev_per_atom": 258, "crystal_system": "cubic", "n_ef_per_ev_cell": 0.00, "e_form_raw_ev_per_atom": -0.032}

***

{"formula": "NdZr2Al", "functional": "PBE-GGA", "state": "relaxed", "lattice": [[1.5813, 0.9129, 11.1638], [-1.5813, 0.9129, 11.1638], [0.0000, -1.8259, 11.1638]], "species": ["Nd", "Zr", "Zr", "Al"], "fractional_positions": [[0.0000, 0.0000, 0.0000], [0.0953, 0.0953, 0.0953], [0.9047, 0.9047, 0.9047], [0.5000, 0.5000, 0.5000]], "total_energy_ev_per_atom": -6.221, "e_form_ev_per_atom": 0.181, "polymorph_energy_mev_per_atom": 298, "crystal_system": "trigonal", "n_ef_per_ev_cell": 6.40}

***

{"formula": "MoBr", "functional": "PBE-GGA", "state": "relaxed", "lattice": [[4.1490, 0.0000, 0.0000], [-2.0745, 3.5931, 0.0000], [0.0000, 0.0000, 14.6836]], "species": ["Mo", "Mo", "Mo", "Mo", "Br", "Br", "Br", "Br"], "fractional_positions": [[0.0000, 0.0000, 0.2500], [0.0000, 0.0000, 0.7500], [0.3333, 0.6667, 0.2500], [0.6667, 0.3333, 0.7500], [0.3333, 0.6667, 0.6165], [0.3333, 0.6667, 0.8835], [0.6667, 0.3333, 0.1165], [0.6667, 0.3333, 0.3835]], "total_energy_ev_per_atom": -5.629, "polymorph_energy_mev_per_atom": 697, "crystal_system": "hexagonal", "n_ef_per_ev_cell": 4.22, "e_form_raw_ev_per_atom": 0.623}

***

{"formula": "Cs3Hg4Au4", "functional": "PBE-GGA", "state": "relaxed", "lattice": [[-4.5209, 4.5209, 4.5209], [4.5209, -4.5209, 4.5209], [4.5209, 4.5209, -4.5209]], "species": ["Cs", "Cs", "Cs", "Hg", "Hg", "Hg", "Hg", "Au", "Au", "Au", "Au"], "fractional_positions": [[0.0000, 0.5000, 0.5000], [0.5000, 0.0000, 0.5000], [0.5000, 0.5000, 0.0000], [0.0000, 0.0000, 0.7352], [0.0000, 0.7352, 0.0000], [0.2648, 0.2648, 0.2648], [0.7352, 0.0000, 0.0000], [0.0000, 0.0000, 0.3759], [0.0000, 0.3759, 0.0000], [0.3759, 0.0000, 0.0000], [0.6241, 0.6241, 0.6241]], "total_energy_ev_per_atom": -1.759, "e_form_ev_per_atom": -0.225, "crystal_system": "cubic", "n_ef_per_ev_cell": 4.18}

***

{"formula": "Ca4TlAg2", "functional": "PBE-GGA", "state": "relaxed", "lattice": [[2.6662, 1.5393, 8.4875], [-2.6662, 1.5393, 8.4875], [0.0000, -3.0787, 8.4875]], "species": ["Ca", "Ca", "Ca", "Ca", "Tl", "Ag", "Ag"], "fractional_positions": [[0.1215, 0.1215, 0.1215], [0.3729, 0.3729, 0.3729], [0.6271, 0.6271, 0.6271], [0.8785, 0.8785, 0.8785], [0.5000, 0.5000, 0.5000], [0.2487, 0.2487, 0.2487], [0.7513, 0.7513, 0.7513]], "total_energy_ev_per_atom": -2.576, "e_form_ev_per_atom": -0.280, "crystal_system": "trigonal", "n_ef_per_ev_cell": 5.01}

***

{"formula": "RbCuAs2Se", "functional": "PBE-GGA", "state": "relaxed", "lattice": [[4.8341, 0.0000, 0.0000], [0.0000, 4.8341, 0.0000], [0.0000, 0.0000, 5.2933]], "species": ["Rb", "Cu", "As", "As", "Se"], "fractional_positions": [[0.0000, 0.0000, 0.0000], [0.5000, 0.5000, 0.5000], [0.0000, 0.5000, 0.5000], [0.5000, 0.0000, 0.5000], [0.5000, 0.5000, 0.0000]], "total_energy_ev_per_atom": -3.430, "polymorph_energy_mev_per_atom": 0, "crystal_system": "tetragonal", "n_ef_per_ev_cell": 3.47, "e_form_raw_ev_per_atom": 0.139}

***

{"formula": "BaSi4Pt4", "functional": "PBE-GGA", "state": "relaxed", "lattice": [[6.1788, 0.0000, 0.0000], [0.0000, 6.1788, 0.0000], [0.0000, 0.0000, 8.4056]], "species": ["Ba", "Ba", "Si", "Si", "Si", "Si", "Si", "Si", "Si", "Si", "Pt", "Pt", "Pt", "Pt", "Pt", "Pt", "Pt", "Pt"], "fractional_positions": [[0.2500, 0.7500, 0.2500], [0.7500, 0.2500, 0.7500], [0.0459, 0.2500, 0.0947], [0.2500, 0.0459, 0.5947], [0.2500, 0.4541, 0.5947], [0.4541, 0.2500, 0.0947], [0.5459, 0.7500, 0.9053], [0.7500, 0.5459, 0.4053], [0.7500, 0.9541, 0.4053], [0.9541, 0.7500, 0.9053], [0.0235, 0.2500, 0.3897], [0.2500, 0.0235, 0.8897], [0.2500, 0.4765, 0.8897], [0.4765, 0.2500, 0.3897], [0.5235, 0.7500, 0.6103], [0.7500, 0.5235, 0.1103], [0.7500, 0.9765, 0.1103], [0.9765, 0.7500, 0.6103]], "total_energy_ev_per_atom": -6.010, "polymorph_energy_mev_per_atom": 131, "crystal_system": "tetragonal", "n_ef_per_ev_cell": 3.09, "e_form_raw_ev_per_atom": -0.701}

***

{"formula": "Li4TbPb2", "functional": "PBE-GGA", "state": "relaxed", "lattice": [[8.0239, 0.0000, 0.0000], [0.0000, 8.0239, 0.0000], [0.0000, 0.0000, 4.7033]], "species": ["Li", "Li", "Li", "Li", "Li", "Li", "Li", "Li", "Tb", "Tb", "Pb", "Pb", "Pb", "Pb"], "fractional_positions": [[0.1096, 0.3577, 0.0000], [0.1423, 0.6096, 0.5000], [0.3577, 0.1096, 0.0000], [0.3904, 0.8577, 0.5000], [0.6096, 0.1423, 0.5000], [0.6423, 0.8904, 0.0000], [0.8577, 0.3904, 0.5000], [0.8904, 0.6423, 0.0000], [0.0000, 0.0000, 0.5000], [0.5000, 0.5000, 0.0000], [0.2080, 0.7920, 0.0000], [0.2920, 0.2920, 0.5000], [0.7080, 0.7080, 0.5000], [0.7920, 0.2080, 0.0000]], "total_energy_ev_per_atom": -3.182, "e_form_ev_per_atom": -0.367, "crystal_system": "tetragonal", "n_ef_per_ev_cell": 5.23}

***

{"formula": "ErGa2RuRh", "functional": "PBE-GGA", "state": "relaxed", "lattice": [[-2.1758, 2.1758, 4.7491], [2.1758, -2.1758, 4.7491], [2.1758, 2.1758, -4.7491]], "species": ["Er", "Ga", "Ga", "Ru", "Rh"], "fractional_positions": [[0.0000, 0.0000, 0.0000], [0.3684, 0.3684, 0.0000], [0.6316, 0.6316, 0.0000], [0.7500, 0.2500, 0.5000], [0.2500, 0.7500, 0.5000]], "total_energy_ev_per_atom": -6.061, "e_form_ev_per_atom": -0.612, "crystal_system": "tetragonal", "n_ef_per_ev_cell": 0.88}

***

{"formula": "VAg3N", "functional": "PBE-GGA", "state": "relaxed", "lattice": [[4.3875, 0.0000, 0.0000], [0.0000, 4.3875, 0.0000], [0.0000, 0.0000, 4.3875]], "species": ["V", "Ag", "Ag", "Ag", "N"], "fractional_positions": [[0.0000, 0.0000, 0.0000], [0.0000, 0.5000, 0.5000], [0.5000, 0.0000, 0.5000], [0.5000, 0.5000, 0.0000], [0.5000, 0.5000, 0.5000]], "total_energy_ev_per_atom": -4.243, "polymorph_energy_mev_per_atom": 0, "crystal_system": "cubic", "n_ef_per_ev_cell": 5.66, "e_form_raw_ev_per_atom": 0.957}

***

{"formula": "Zr4MnCr", "functional": "PBE-GGA", "state": "relaxed", "lattice": [[0.0000, 4.0431, 4.0431], [4.0431, 0.0000, 4.0431], [4.0431, 4.0431, 0.0000]], "species": ["Zr", "Zr", "Zr", "Zr", "Mn", "Cr"], "fractional_positions": [[0.1248, 0.1248, 0.1248], [0.1248, 0.1248, 0.6256], [0.1248, 0.6256, 0.1248], [0.6256, 0.1248, 0.1248], [0.5000, 0.5000, 0.5000], [0.7500, 0.7500, 0.7500]], "total_energy_ev_per_atom": -8.136, "e_form_ev_per_atom": 0.695, "crystal_system": "cubic", "n_ef_per_ev_cell": 8.46}

***

{"formula": "La2FeCN", "functional": "PBE-GGA", "state": "relaxed", "lattice": [[5.1700, 0.0000, 0.0000], [0.0000, 5.1700, 0.0000], [0.0000, 0.0000, 3.4923]], "species": ["La", "La", "Fe", "C", "N"], "fractional_positions": [[0.0000, 0.5000, 0.0000], [0.5000, 0.0000, 0.0000], [0.0000, 0.0000, 0.0000], [0.5000, 0.5000, 0.5000], [0.0000, 0.0000, 0.5000]], "total_energy_ev_per_atom": -6.838, "crystal_system": "tetragonal", "n_ef_per_ev_cell": 2.25, "e_form_raw_ev_per_atom": 0.336}

***

{"formula": "Ac2AlZnRh6", "functional": "PBE-GGA", "state": "relaxed", "lattice": [[3.2918, 1.9005, 5.3617], [-3.2918, 1.9005, 5.3617], [0.0000, -3.8011, 5.3617]], "species": ["Ac", "Ac", "Al", "Zn", "Rh", "Rh", "Rh", "Rh", "Rh", "Rh"], "fractional_positions": [[0.2500, 0.2500, 0.2500], [0.7500, 0.7500, 0.7500], [0.0000, 0.0000, 0.0000], [0.5000, 0.5000, 0.5000], [0.2461, 0.2461, 0.7539], [0.2461, 0.7539, 0.2461], [0.2461, 0.7539, 0.7539], [0.7539, 0.2461, 0.2461], [0.7539, 0.2461, 0.7539], [0.7539, 0.7539, 0.2461]], "total_energy_ev_per_atom": -5.987, "e_form_ev_per_atom": -0.253, "crystal_system": "trigonal", "n_ef_per_ev_cell": 14.72}

***

{"formula": "HfBi2Au", "functional": "PBE-GGA", "state": "relaxed", "lattice": [[0.0000, 3.6809, 3.6809], [3.6809, 0.0000, 3.6809], [3.6809, 3.6809, 0.0000]], "species": ["Hf", "Bi", "Bi", "Au"], "fractional_positions": [[0.0000, 0.0000, 0.0000], [0.2500, 0.2500, 0.2500], [0.7500, 0.7500, 0.7500], [0.5000, 0.5000, 0.5000]], "total_energy_ev_per_atom": -5.030, "e_form_ev_per_atom": 0.218, "crystal_system": "cubic", "n_ef_per_ev_cell": 5.53}

***

{"formula": "LiMnMo2", "functional": "PBE-GGA", "state": "relaxed", "lattice": [[-1.8122, 1.8122, 4.1612], [1.8122, -1.8122, 4.1612], [1.8122, 1.8122, -4.1612]], "species": ["Li", "Mn", "Mo", "Mo"], "fractional_positions": [[0.0000, 0.0000, 0.0000], [0.2500, 0.7500, 0.5000], [0.5000, 0.5000, 0.0000], [0.7500, 0.2500, 0.5000]], "total_energy_ev_per_atom": -7.723, "e_form_ev_per_atom": 0.464, "polymorph_energy_mev_per_atom": 185, "crystal_system": "tetragonal", "n_ef_per_ev_cell": 4.76}

***

{"formula": "BaAuCl2", "functional": "PBE-GGA", "state": "relaxed", "lattice": [[5.2154, 0.0000, 0.0000], [0.0000, 5.6886, 0.0000], [-2.4646, 0.0000, 4.7642]], "species": ["Ba", "Au", "Cl", "Cl"], "fractional_positions": [[0.0000, 0.0000, 0.0000], [0.5939, 0.5000, 0.7913], [0.1123, 0.5000, 0.8039], [0.6623, 0.0000, 0.3442]], "total_energy_ev_per_atom": -3.556, "polymorph_energy_mev_per_atom": 0, "crystal_system": "monoclinic", "n_ef_per_ev_cell": 1.20, "e_form_raw_ev_per_atom": -1.332}

***

{"formula": "LaSClO4", "functional": "PBE-GGA", "state": "relaxed", "lattice": [[6.8236, 0.0000, 0.0000], [0.0000, 8.2251, 0.0000], [-3.5738, 0.0000, 8.0434]], "species": ["La", "La", "La", "La", "S", "S", "S", "S", "Cl", "Cl", "Cl", "Cl", "O", "O", "O", "O", "O", "O", "O", "O", "O", "O", "O", "O", "O", "O", "O", "O"], "fractional_positions": [[0.1210, 0.1904, 0.2333], [0.1210, 0.3096, 0.7333], [0.8790, 0.6904, 0.2667], [0.8790, 0.8096, 0.7667], [0.2762, 0.5796, 0.0703], [0.2762, 0.9204, 0.5703], [0.7238, 0.0796, 0.4297], [0.7238, 0.4204, 0.9297], [0.2240, 0.0378, 0.9689], [0.2240, 0.4622, 0.4689], [0.7760, 0.5378, 0.5311], [0.7760, 0.9622, 0.0311], [0.1407, 0.6806, 0.1292], [0.1407, 0.8194, 0.6292], [0.1723, 0.5878, 0.8815], [0.1723, 0.9122, 0.3815], [0.2795, 0.0940, 0.6169], [0.2795, 0.4060, 0.1169], [0.4947, 0.6456, 0.1307], [0.4947, 0.8544, 0.6307], [0.5053, 0.1456, 0.3693], [0.5053, 0.3544, 0.8693], [0.7205, 0.5940, 0.8831], [0.7205, 0.9060, 0.3831], [0.8277, 0.0878, 0.6185], [0.8277, 0.4122, 0.1185], [0.8593, 0.1806, 0.3708], [0.8593, 0.3194, 0.8708]], "total_energy_ev_per_atom": -6.608, "polymorph_energy_mev_per_atom": 0, "crystal_system": "monoclinic", "n_ef_per_ev_cell": 0.00, "e_form_raw_ev_per_atom": -2.217}

***

{"formula": "BaHRh2", "functional": "PBE-GGA", "state": "relaxed", "lattice": [[0.0000, 4.0977, 4.0977], [4.0977, 0.0000, 4.0977], [4.0977, 4.0977, 0.0000]], "species": ["Ba", "Ba", "H", "H", "Rh", "Rh", "Rh", "Rh"], "fractional_positions": [[0.1250, 0.1250, 0.1250], [0.8750, 0.8750, 0.8750], [0.3750, 0.3750, 0.3750], [0.6250, 0.6250, 0.6250], [0.0000, 0.5000, 0.5000], [0.5000, 0.0000, 0.5000], [0.5000, 0.5000, 0.0000], [0.5000, 0.5000, 0.5000]], "total_energy_ev_per_atom": -5.225, "polymorph_energy_mev_per_atom": 0, "crystal_system": "cubic", "n_ef_per_ev_cell": 3.69}

***

{"formula": "AuCl2F", "functional": "PBE-GGA", "state": "relaxed", "lattice": [[3.7747, 0.0000, 0.0000], [-0.0019, 4.3050, 0.0000], [-0.9919, -2.1030, 5.9897]], "species": ["Au", "Cl", "Cl", "F"], "fractional_positions": [[0.0000, 0.0000, 0.0000], [0.3527, 0.8629, 0.7184], [0.6473, 0.1371, 0.2816], [0.0000, 0.5000, 0.0000]], "total_energy_ev_per_atom": -2.605, "polymorph_energy_mev_per_atom": 0, "crystal_system": "triclinic", "n_ef_per_ev_cell": 3.42, "e_form_raw_ev_per_atom": -0.395}

***

{"formula": "Sm8Cd2Sn", "functional": "PBE-GGA", "state": "relaxed", "lattice": [[8.3326, -2.6955, 0.0000], [8.3326, 2.6955, 0.0000], [-4.4213, 0.0000, 7.5050]], "species": ["Sm", "Sm", "Sm", "Sm", "Sm", "Sm", "Sm", "Sm", "Cd", "Cd", "Sn"], "fractional_positions": [[0.0681, 0.0681, 0.2193], [0.1386, 0.1386, 0.6872], [0.3189, 0.3189, 0.5477], [0.4073, 0.4073, 0.0499], [0.5927, 0.5927, 0.9501], [0.6811, 0.6811, 0.4523], [0.8614, 0.8614, 0.3128], [0.9319, 0.9319, 0.7807], [0.2227, 0.2227, 0.1105], [0.7773, 0.7773, 0.8895], [0.5000, 0.5000, 0.5000]], "total_energy_ev_per_atom": -4.208, "e_form_ev_per_atom": -0.246, "crystal_system": "monoclinic", "n_ef_per_ev_cell": 10.59}

***

{"formula": "As2BrCl", "functional": "PBE-GGA", "state": "relaxed", "lattice": [[3.9408, 0.0000, 0.0000], [0.0000, 3.9408, 0.0000], [0.0000, 0.0000, 6.5976]], "species": ["As", "As", "Br", "Cl"], "fractional_positions": [[0.0000, 0.0000, 0.1804], [0.0000, 0.0000, 0.8196], [0.5000, 0.5000, 0.0000], [0.5000, 0.5000, 0.5000]], "total_energy_ev_per_atom": -2.763, "polymorph_energy_mev_per_atom": 762, "crystal_system": "tetragonal", "n_ef_per_ev_cell": 1.39, "e_form_raw_ev_per_atom": 0.441}

***

{"formula": "NaHgH3", "functional": "PBE-GGA", "state": "relaxed", "lattice": [[4.0157, 0.0000, 0.0000], [0.0000, 4.0157, 0.0000], [0.0000, 0.0000, 4.0157]], "species": ["Na", "Hg", "H", "H", "H"], "fractional_positions": [[0.0000, 0.0000, 0.0000], [0.5000, 0.5000, 0.5000], [0.0000, 0.0000, 0.5000], [0.0000, 0.5000, 0.0000], [0.5000, 0.0000, 0.0000]], "total_energy_ev_per_atom": -1.548, "polymorph_energy_mev_per_atom": 622, "crystal_system": "cubic", "n_ef_per_ev_cell": 2.18}

***

{"formula": "SmZnHRh2", "functional": "PBE-GGA", "state": "relaxed", "lattice": [[1.9160, -5.5084, 0.0000], [1.9160, 5.5084, 0.0000], [0.0000, 0.0000, 7.2686]], "species": ["Sm", "Sm", "Zn", "Zn", "H", "H", "Rh", "Rh", "Rh", "Rh"], "fractional_positions": [[0.0541, 0.9459, 0.7500], [0.9459, 0.0541, 0.2500], [0.2204, 0.7796, 0.2500], [0.7796, 0.2204, 0.7500], [0.5000, 0.5000, 0.0000], [0.5000, 0.5000, 0.5000], [0.3460, 0.6540, 0.5416], [0.3460, 0.6540, 0.9584], [0.6540, 0.3460, 0.0416], [0.6540, 0.3460, 0.4584]], "total_energy_ev_per_atom": -5.309, "crystal_system": "orthorhombic", "n_ef_per_ev_cell": 5.49}